Record 1
BeVN3 | PBE-GGA | relaxed

Computed properties:
Energy relative to the elements, uncorrected   0.91 eV/atom
Space group   Pm-3m (221)
Total moment   0.001 μB/f.u.
Density   3180 kg/m3
Final energy   -0.4894 Ry/atom

Cell lengths 3.762, 3.762, 3.762 Å; angles 90.00, 90.00, 90.00 degrees
Sites, in units of the cell vectors:
Be  0.500  0.500  0.500
N  0.000  0.500  0.000
N  0.000  0.000  0.500
N  0.500  0.000  0.000
V  0.000  0.000  0.000


Record 2
Be2V4N | PBE-GGA | relaxed

Computed properties:
Energy relative to the elements, uncorrected   -0.09 eV/atom
Space group   I4/mmm (139)
Total moment   0.000 μB/f.u.
Density   4572 kg/m3
Final energy   -0.5555 Ry/atom

Cell lengths 3.706, 3.706, 6.763 Å; angles 74.10, 74.10, 90.00 degrees
Sites, in units of the cell vectors:
V  0.500  0.000  0.000
V  0.167  0.167  0.666
V  0.833  0.833  0.334
V  0.000  0.500  0.000
N  0.000  0.000  0.000
Be  0.637  0.637  0.725
Be  0.363  0.363  0.275


Record 3
BeVN | PBE-GGA | relaxed

Computed properties:
Energy relative to the elements, uncorrected   -0.62 eV/atom
Distance to the lowest polymorph of the same formula   0.000 eV/f.u.
Space group   Pnma (62)
Total moment   0.000 μB/f.u.
Density   4766 kg/m3
Final energy   -0.5644 Ry/atom

Cell lengths 2.822, 4.367, 8.364 Å; angles 90.00, 90.00, 90.00 degrees
Sites, in units of the cell vectors:
V  0.250  0.953  0.555
V  0.750  0.547  0.445
V  0.250  0.047  0.055
V  0.750  0.453  0.945
N  0.750  0.295  0.185
N  0.750  0.705  0.685
N  0.250  0.795  0.315
N  0.250  0.205  0.815
Be  0.750  0.313  0.696
Be  0.250  0.813  0.804
Be  0.750  0.687  0.196
Be  0.250  0.187  0.304


Record 4
BeVN2 | PBE-GGA | relaxed

Computed properties:
Energy relative to the elements, uncorrected   -0.82 eV/atom
Space group   I-42d (122)
Total moment   0.881 μB/f.u.
Density   3855 kg/m3
Final energy   -0.6026 Ry/atom

Cell lengths 4.225, 4.225, 5.191 Å; angles 65.99, 65.99, 90.00 degrees
Each line ends with the local moment (μB).
Sites, in units of the cell vectors:
N  0.875  0.857  0.750  -0.05
N  0.143  0.625  0.250  -0.05
N  0.607  0.125  0.250  -0.05
N  0.375  0.393  0.750  -0.05
Be  0.500  0.500  0.000  0.01
Be  0.250  0.750  0.500  0.01
V  0.000  0.000  0.000  0.87
V  0.750  0.250  0.500  0.87


Record 5
Be3VN | PBE-GGA | relaxed

Computed properties:
Energy relative to the elements, uncorrected   2.60 eV/atom
Distance to the lowest polymorph of the same formula   11.460 eV/f.u.
Space group   Pm-3m (221)
Total moment   0.239 μB/f.u.
Density   1944 kg/m3
Final energy   -0.2296 Ry/atom

Cell lengths 4.283, 4.283, 4.283 Å; angles 90.00, 90.00, 90.00 degrees
Each line ends with the local moment (μB).
Sites, in units of the cell vectors:
Be  0.000  0.000  0.500  -0.06
Be  0.000  0.500  0.000  -0.06
Be  0.500  0.000  0.000  -0.06
N  0.500  0.500  0.500  0.76
V  0.000  0.000  0.000  -0.63


Record 6
Be3VN | PBE-GGA | relaxed

Computed properties:
Energy relative to the elements, uncorrected   0.31 eV/atom
Distance to the lowest polymorph of the same formula   0.000 eV/f.u.
Space group   Pm-3m (221)
Total moment   1.589 μB/f.u.
Density   3322 kg/m3
Final energy   -0.3981 Ry/atom

Cell lengths 3.582, 3.582, 3.582 Å; angles 90.00, 90.00, 90.00 degrees
Each line ends with the local moment (μB).
Sites, in units of the cell vectors:
V  0.500  0.500  0.500  1.31
N  0.000  0.000  0.000  0.08
Be  0.500  0.000  0.000  0.01
Be  0.000  0.500  0.000  0.01
Be  0.000  0.000  0.500  0.01